# 1
Al2NiAg: relaxed, GGA-PBE.

Calculated values
Space group = I-4m2 (119)
Offset from the most stable computed form = 139 meV per atom

abc: 4.8430 4.8430 4.8430
angles: 134.14 134.14 66.86
Last column: nearest neighbours and their distance in Å.
Element x y z (fractional)
Ni 0.5000 0.5000 0.0000  8 Al 2.67-2.76, 4 Ag 2.76
Al 0.0000 0.0000 0.0000  4 Ni 2.67, 4 Al 2.76, 4 Ag 2.76
Al 0.2500 0.7500 0.5000  4 Ag 2.67, 4 Ni 2.76, 4 Al 2.76
Ag 0.7500 0.2500 0.5000  8 Al 2.67-2.76, 4 Ni 2.76

***

# 2
AlNiAg2: relaxed, GGA-PBE.

Calculated values
Space group = C2/m (12)

abc: 4.8814 4.8814 4.6679
angles: 77.42 77.42 34.55
Last column: nearest neighbours and their distance in Å.
Element x y z (fractional)
Ni 0.2500 0.2500 0.2500  4 Al 2.75, 6 Ag 2.76-2.84, 2 Ni 2.90
Al 0.7500 0.7500 0.7500  4 Ni 2.75, 6 Ag 2.78-2.83, 2 Al 2.90
Ag 0.9988 0.9988 0.0025  6 Ag 2.73-2.90, 3 Ni 2.76-2.84, 3 Al 2.78-2.83
Ag 0.5012 0.5012 0.4975  6 Ag 2.73-2.90, 3 Ni 2.76-2.84, 3 Al 2.78-2.83

***

no.,energy of formation (eV per atom),magnetization (μB per cell)
1,-0.21,0.0
2,-0.01,0.0